[1]
An optimized crystal structure of YHf2CdI, computed with PBE.

**Symmetry**: P4/mmm
**Energy relative to the elements, uncorrected**: 1.15 eV/atom
**Fermi-level density of states**: 7.52 states/eV/cell
**Electronic total energy**: -4.6195 eV per atom
**Crystal system**: tetragonal

abc: 5.304 5.304 5.779
angles: 90.00 90.00 90.00
Positions (direct):
Y: 0.000 0.000 0.000
Hf: 0.000 0.500 0.500
Hf: 0.500 0.000 0.500
Cd: 0.500 0.500 0.500
I: 0.500 0.500 0.000

[2]
An optimized crystal structure of CsRe3Ni, computed with PBE.

**Symmetry**: Pm-3m
**Fermi-level density of states**: 9.61 states/eV/cell
**Offset from the most stable computed form**: 920 kJ/mol of formula units
**ΔH_f (0 K)**: 4.345 eV/atom
**Electronic total energy**: -4.4510 eV per atom
**Crystal system**: cubic

abc: 4.840 4.840 4.840
angles: 90.00 90.00 90.00
Positions (direct):
Cs: 0.000 0.000 0.000
Re: 0.000 0.000 0.500
Re: 0.000 0.500 0.000
Re: 0.500 0.000 0.000
Ni: 0.500 0.500 0.500

[3]
An optimized crystal structure of LiY2AgS4, computed with PBE.

**Symmetry**: P2/m
**Energy relative to the elements, uncorrected**: -1.56 eV/atom
**Fermi-level density of states**: 0.00 states/eV/cell
**Electronic total energy**: -5.8400 eV per atom
**Crystal system**: monoclinic

abc: 6.623 3.974 6.872
angles: 90.00 110.25 90.00
Positions (direct):
Li: 0.000 0.000 0.000
Y: 0.500 0.000 0.500
Y: 0.500 0.500 0.000
Ag: 0.000 0.500 0.500
S: 0.255 0.500 0.248
S: 0.256 0.000 0.756
S: 0.744 0.000 0.244
S: 0.745 0.500 0.752

[4]
An optimized crystal structure of CeTlSn, computed with PBE.

**Symmetry**: I4/mmm
**Fermi-level density of states**: 11.84 states/eV/cell
**Offset from the most stable computed form**: 0 kJ/mol of formula units
**ΔH_f (0 K)**: -0.380 eV/atom
**Electronic total energy**: -4.4813 eV per atom
**Crystal system**: tetragonal

abc: 8.769 8.769 8.769
angles: 149.42 149.42 43.80
Positions (direct):
Ce: 0.153 0.153 0.000
Ce: 0.847 0.847 0.000
Tl: 0.000 0.500 0.500
Tl: 0.500 0.000 0.500
Sn: 0.347 0.347 0.000
Sn: 0.653 0.653 0.000

[5]
An optimized crystal structure of AcY2Ho3, computed with PBE.

**Symmetry**: C2/c
**Fermi-level density of states**: 22.14 states/eV/cell
**ΔH_f (0 K)**: 0.098 eV/atom
**Electronic total energy**: -5.0298 eV per atom
**Crystal system**: monoclinic

abc: 6.761 6.761 9.074
angles: 98.41 98.41 94.63
Positions (direct):
Ac: 0.075 0.925 0.750
Ac: 0.925 0.075 0.250
Y: 0.131 0.619 0.374
Y: 0.381 0.869 0.126
Y: 0.619 0.131 0.874
Y: 0.869 0.381 0.626
Ho: 0.177 0.355 0.008
Ho: 0.355 0.177 0.508
Ho: 0.417 0.583 0.750
Ho: 0.583 0.417 0.250
Ho: 0.645 0.823 0.492
Ho: 0.823 0.645 0.992

[6]
An optimized crystal structure of LaInB2Rh5, computed with PBE.

**Symmetry**: P4/mmm
**Fermi-level density of states**: 7.28 states/eV/cell
**ΔH_f (0 K)**: -0.451 eV/atom
**Electronic total energy**: -6.8703 eV per atom
**Crystal system**: tetragonal

abc: 4.221 4.221 7.922
angles: 90.00 90.00 90.00
Positions (direct):
La: 0.000 0.000 0.000
In: 0.000 0.000 0.500
B: 0.500 0.500 0.275
B: 0.500 0.500 0.725
Rh: 0.000 0.500 0.276
Rh: 0.000 0.500 0.724
Rh: 0.500 0.000 0.276
Rh: 0.500 0.000 0.724
Rh: 0.500 0.500 0.000

[7]
An optimized crystal structure of MnCoTcHOs, computed with PBE.

**Symmetry**: Pmm2
**Fermi-level density of states**: 4.81 states/eV/cell
**Offset from the most stable computed form**: 38 kJ/mol of formula units
**Electronic total energy**: -8.1625 eV per atom
**Crystal system**: orthorhombic

abc: 2.686 3.795 5.265
angles: 90.00 90.00 90.00
Positions (direct):
Mn: 0.000 0.000 0.000
Co: 0.500 0.500 0.757
Tc: 0.000 0.000 0.515
H: 0.000 0.500 0.967
Os: 0.500 0.500 0.267

[8]
An optimized crystal structure of KB, computed with PBE.

**Symmetry**: P2_12_12_1
**Fermi-level density of states**: 4.10 states/eV/cell
**Offset from the most stable computed form**: 0 kJ/mol of formula units
**ΔH_f (0 K)**: 0.246 eV/atom
**Electronic total energy**: -3.6419 eV per atom
**Crystal system**: orthorhombic

abc: 6.352 8.420 8.435
angles: 90.00 90.00 90.00
Positions (direct):
K: 0.116 0.039 0.213
K: 0.116 0.542 0.711
K: 0.384 0.458 0.211
K: 0.384 0.961 0.713
K: 0.616 0.461 0.787
K: 0.616 0.958 0.289
K: 0.884 0.042 0.789
K: 0.884 0.539 0.287
B: 0.031 0.248 0.501
B: 0.219 0.749 0.002
B: 0.281 0.251 0.502
B: 0.469 0.752 0.001
B: 0.531 0.252 0.499
B: 0.719 0.751 0.998
B: 0.781 0.249 0.498
B: 0.969 0.748 0.999

[9]
An optimized crystal structure of Ho2AgPd3, computed with PBE.

**Symmetry**: Pnma
**Fermi-level density of states**: 9.51 states/eV/cell
**ΔH_f (0 K)**: -0.737 eV/atom
**Electronic total energy**: -5.3347 eV per atom
**Crystal system**: orthorhombic

abc: 7.372 3.740 17.504
angles: 90.00 90.00 90.00
Positions (direct):
Ho: 0.101 0.250 0.208
Ho: 0.159 0.250 0.426
Ho: 0.341 0.750 0.926
Ho: 0.399 0.750 0.708
Ho: 0.601 0.250 0.292
Ho: 0.659 0.250 0.074
Ho: 0.841 0.750 0.574
Ho: 0.899 0.750 0.792
Ag: 0.009 0.750 0.063
Ag: 0.491 0.250 0.563
Ag: 0.509 0.750 0.437
Ag: 0.991 0.250 0.937
Pd: 0.086 0.250 0.659
Pd: 0.210 0.250 0.808
Pd: 0.217 0.750 0.550
Pd: 0.283 0.250 0.050
Pd: 0.290 0.750 0.308
Pd: 0.414 0.750 0.159
Pd: 0.586 0.250 0.841
Pd: 0.710 0.250 0.692
Pd: 0.717 0.750 0.950
Pd: 0.783 0.250 0.450
Pd: 0.790 0.750 0.192
Pd: 0.914 0.750 0.341

[10]
An optimized crystal structure of Mg2ZnPdRh, computed with PBE.

**Symmetry**: P4/mmm
**Fermi-level density of states**: 1.66 states/eV/cell
**ΔH_f (0 K)**: 0.143 eV/atom
**Electronic total energy**: -3.2580 eV per atom
**Crystal system**: tetragonal

abc: 4.789 4.789 4.683
angles: 90.00 90.00 90.00
Positions (direct):
Mg: 0.000 0.500 0.000
Mg: 0.500 0.000 0.000
Zn: 0.000 0.000 0.500
Pd: 0.500 0.500 0.500
Rh: 0.000 0.000 0.000

- Number 8 is which compound?
  KB